Entry from OQMD: a geometry-optimized DyEr2Tm4Ni2Te2 structure (PBE).

a b c (Å): 3.8282 15.4657 9.4902
angles (deg): 90.00 90.00 90.00
Space group Imm2 (No. 44)
Asymmetric unit:
Dy 0.0000 0.0000 0.0000 x2
Er 0.0000 0.3146 0.3789 x4
Tm 0.0000 0.1333 0.5827 x4
Tm 0.0000 0.3533 0.7301 x4
Ni 0.0000 0.2376 0.0720 x4
Te 0.0000 0.0000 0.3375 x2
Te 0.0000 0.5000 0.2344 x2

* calculated total energy: -5.14 eV/atom